# 1
Crystalline ZnGeSeN2 at its relaxed geometry. Source: Alexandria via LeMat-Bulk, functional PBE.

Results
The value obtained for the density of states at the Fermi level is 1.72 states/eV per cell. For the raw formation energy, the calculation gives 0.969 eV/atom.

Cell: 3.641 3.641 6.727 Å, 90.00 90.00 90.00°
Space group P4/mmm (No. 123)
Inequivalent atoms, fractional coordinates:
Zn 0.000 0.000 0.000
Ge 0.500 0.500 0.500
Se 0.500 0.500 0.000
N 0.000 0.500 0.500



# 2
Crystalline ZnTc at its relaxed geometry. Source: Alexandria via LeMat-Bulk, functional PBE.

Results
The value obtained for the density of states at the Fermi level is 2.28 states/eV per cell. For the energy of formation from the pure elements, the calculation gives 218 meV per atom.

Cell: 2.630 2.630 4.161 Å, 90.00 90.00 90.00°
Space group P4/mmm (No. 123)
Inequivalent atoms, fractional coordinates:
Zn 0.000 0.000 0.000
Tc 0.500 0.500 0.500